A plane-wave DFT calculation with PBE-GGA was carried out for an optimized crystal structure of CeNdTlCu.

a = 5.3307 Å, b = 5.3307 Å, c = 5.3307 Å
α = 60.00°, β = 60.00°, γ = 60.00°
Element x y z (fractional)
Ce1 0.0000 0.0000 0.0000
Nd1 0.5000 0.5000 0.5000
Tl1 0.7500 0.7500 0.7500
Cu1 0.2500 0.2500 0.2500

Values from the calculation:
Space group: F-43m

A plane-wave DFT calculation with PBE-GGA was carried out for an optimized crystal structure of CeCuNi.

a = 5.0455 Å, b = 5.0455 Å, c = 6.8562 Å
α = 120.57°, β = 120.57°, γ = 46.38°
Element x y z (fractional)
Ce1 0.0579 0.0579 0.2963
Ce2 0.9421 0.9421 0.7037
Cu1 0.3208 0.3208 0.9286
Cu2 0.6792 0.6792 0.0714
Ni1 0.3491 0.3491 0.3240
Ni2 0.6509 0.6509 0.6760

Values from the calculation:
Space group: C2/m
Energy above the most stable polymorph in this dataset in kcal/mol of atoms: 0.03

E_form for the records above, in order: -0.115, -0.260 eV/atom
N(E_F) for the records above, in order: 10.447, 7.838 states/eV per cell
Spin magnetization for the records above, in order: 1.42, 0.00 μB per formula unit